# PBE LaBiOs2O, optimized geometry
# DOS at the Fermi energy ... 2.73 states/eV/cell
# Formation energy from raw total energies ... 9.7 eV per formula unit
# Crystal system ... tetragonal
data_LaBiOs2O
_chemical_formula_sum 'La1 Bi1 Os2 O1'
_cell_length_a 4.920
_cell_length_b 4.920
_cell_length_c 6.360
_cell_angle_alpha 90.00
_cell_angle_beta 90.00
_cell_angle_gamma 90.00
_space_group_name_H-M_alt 'P 4/m m m'
_space_group_IT_number 123
_space_group_name_Hall '-P 4 2'
loop_
_atom_site_label
_atom_site_type_symbol
_atom_site_fract_x
_atom_site_fract_y
_atom_site_fract_z
_atom_site_occupancy
La1 La 0.000 0.000 0.000 1
Bi1 Bi 0.000 0.000 0.500 1
Os1 Os 0.000 0.500 0.500 1
O1 O 0.500 0.500 0.000 1


# PBE Al2Ni2Mo, optimized geometry
# Energy relative to the elements ... -334 meV/atom
# DOS at the Fermi energy ... 8.99 states/eV/cell
# Crystal system ... tetragonal
data_Al2Ni2Mo
_chemical_formula_sum 'Al4 Ni4 Mo2'
_cell_length_a 7.046
_cell_length_b 7.046
_cell_length_c 2.629
_cell_angle_alpha 90.00
_cell_angle_beta 90.00
_cell_angle_gamma 90.00
_space_group_name_H-M_alt 'P 4/m b m'
_space_group_IT_number 127
_space_group_name_Hall '-P 4 2ab'
loop_
_atom_site_label
_atom_site_type_symbol
_atom_site_fract_x
_atom_site_fract_y
_atom_site_fract_z
_atom_site_occupancy
Al1 Al 0.141 0.359 0.000 1
Ni1 Ni 0.156 0.656 0.500 1
Mo1 Mo 0.000 0.000 0.000 1


# PBE TlBiPb2, optimized geometry
# Energy relative to the elements ... 79 meV/atom
# DOS at the Fermi energy ... 4.89 states/eV/cell
# Crystal system ... orthorhombic
data_TlBiPb2
_chemical_formula_sum 'Tl2 Bi2 Pb4'
_cell_length_a 3.415
_cell_length_b 5.939
_cell_length_c 13.164
_cell_angle_alpha 90.00
_cell_angle_beta 90.00
_cell_angle_gamma 90.00
_space_group_name_H-M_alt 'I m m m'
_space_group_IT_number 71
_space_group_name_Hall '-I 2 2'
loop_
_atom_site_label
_atom_site_type_symbol
_atom_site_fract_x
_atom_site_fract_y
_atom_site_fract_z
_atom_site_occupancy
Tl1 Tl 0.000 0.000 0.000 1
Bi1 Bi 0.000 0.000 0.500 1
Pb1 Pb 0.000 0.000 0.257 1


# PBE Pm4Nd3Sm8, optimized geometry
# Energy relative to the elements ... 131 meV/atom
# DOS at the Fermi energy ... 75.40 states/eV/cell
# Crystal system ... trigonal
data_Pm4Nd3Sm8
_chemical_formula_sum 'Pm12 Nd9 Sm24'
_cell_length_a 7.0748
_cell_length_b 7.0748
_cell_length_c 36.1882
_cell_angle_alpha 90.00
_cell_angle_beta 90.00
_cell_angle_gamma 120.00
_space_group_name_H-M_alt 'R -3 m'
_space_group_IT_number 166
_space_group_name_Hall '-R 3 2"'
loop_
_atom_site_label
_atom_site_type_symbol
_atom_site_fract_x
_atom_site_fract_y
_atom_site_fract_z
_atom_site_occupancy
Pm1 Pm 0.0000 0.0000 0.0000 1
Pm2 Pm 0.0000 0.0000 0.1641 1
Pm3 Pm 0.0000 0.0000 0.5000 1
Nd1 Nd 0.0000 0.5000 0.0000 1
Sm1 Sm 0.0000 0.0000 0.2536 1
Sm2 Sm 0.0013 0.5006 0.2499 1


# PBE KLi3Br, optimized geometry
# DOS at the Fermi energy ... 3.05 states/eV/cell
# Formation energy from raw total energies ... -1.6 eV per formula unit
# Crystal system ... cubic
data_KLi3Br
_chemical_formula_sum 'K1 Li3 Br1'
_cell_length_a 5.451
_cell_length_b 5.451
_cell_length_c 5.451
_cell_angle_alpha 90.00
_cell_angle_beta 90.00
_cell_angle_gamma 90.00
_space_group_name_H-M_alt 'P m -3 m'
_space_group_IT_number 221
_space_group_name_Hall '-P 4 2 3'
loop_
_atom_site_label
_atom_site_type_symbol
_atom_site_fract_x
_atom_site_fract_y
_atom_site_fract_z
_atom_site_occupancy
K1 K 0.000 0.000 0.000 1
Li1 Li 0.000 0.500 0.500 1
Br1 Br 0.500 0.500 0.500 1


# PBE LiTb2HfS4, optimized geometry
# DOS at the Fermi energy ... 2.93 states/eV/cell
# Formation energy from raw total energies ... -13.8 eV per formula unit
# Crystal system ... monoclinic
data_LiTb2HfS4
_chemical_formula_sum 'Li1 Tb2 Hf1 S4'
_cell_length_a 6.479
_cell_length_b 3.800
_cell_length_c 6.633
_cell_angle_alpha 90.00
_cell_angle_beta 109.21
_cell_angle_gamma 90.00
_space_group_name_H-M_alt 'P 1 2/m 1'
_space_group_IT_number 10
loop_
_space_group_symop_operation_xyz
'x,y,z'
'-x,-y,-z'
'-x,y,-z'
'x,-y,z'
loop_
_atom_site_label
_atom_site_type_symbol
_atom_site_fract_x
_atom_site_fract_y
_atom_site_fract_z
_atom_site_occupancy
Li1 Li 0.000 0.000 0.000 1
Tb1 Tb 0.500 0.000 0.500 1
Tb2 Tb 0.500 0.500 0.000 1
Hf1 Hf 0.000 0.500 0.500 1
S1 S 0.227 0.000 0.746 1
S2 S 0.230 0.500 0.245 1


# PBE KInRe, optimized geometry
# Energy relative to the elements ... 2167 meV/atom
# DOS at the Fermi energy ... 7.12 states/eV/cell
# Crystal system ... cubic
data_KInRe
_chemical_formula_sum 'K4 In4 Re4'
_cell_length_a 7.305
_cell_length_b 7.305
_cell_length_c 7.305
_cell_angle_alpha 90.00
_cell_angle_beta 90.00
_cell_angle_gamma 90.00
_space_group_name_H-M_alt 'F -4 3 m'
_space_group_IT_number 216
_space_group_name_Hall 'F -4 2 3'
loop_
_atom_site_label
_atom_site_type_symbol
_atom_site_fract_x
_atom_site_fract_y
_atom_site_fract_z
_atom_site_occupancy
K1 K 0.000 0.000 0.000 1
In1 In 0.250 0.250 0.750 1
Re1 Re 0.250 0.250 0.250 1


# PBE ErReB2, optimized geometry
# Energy relative to the elements ... -134 meV/atom
# DOS at the Fermi energy ... 3.92 states/eV/cell
# Crystal system ... trigonal
data_ErReB2
_chemical_formula_sum 'Er3 Re3 B6'
_cell_length_a 3.3728
_cell_length_b 3.3728
_cell_length_c 16.3159
_cell_angle_alpha 90.00
_cell_angle_beta 90.00
_cell_angle_gamma 120.00
_space_group_name_H-M_alt 'R -3 m'
_space_group_IT_number 166
_space_group_name_Hall '-R 3 2"'
loop_
_atom_site_label
_atom_site_type_symbol
_atom_site_fract_x
_atom_site_fract_y
_atom_site_fract_z
_atom_site_occupancy
Er1 Er 0.0000 0.0000 0.0000 1
Re1 Re 0.0000 0.0000 0.5000 1
B1 B 0.0000 0.0000 0.2317 1


Listing final energy for the structures above in their given order: -5.3112 -6.3097 -3.3368 -4.6058 -2.0179 -6.4359 -3.2610 -7.7259 eV per atom.